! BaNaZr2Al (SCAN, single point on PBEsol structure); values from VASP
&SYSTEM
  ibrav = 0, nat = 5, ntyp = 4
/
ATOMIC_SPECIES
Na 22.99 Na.upf
Ba 137.33 Ba.upf
Zr 91.22 Zr.upf
Al 26.98 Al.upf
ATOMIC_POSITIONS crystal
Na 0.500 0.000 0.000
Ba 0.000 0.000 0.000
Zr 0.000 0.000 0.500
Zr 0.000 0.500 0.000
Al 0.500 0.500 0.500
CELL_PARAMETERS angstrom
5.180 0.000 0.000
0.000 5.299 0.000
0.000 0.000 5.299
! calculated formation energy = 1.6837 eV per atom
! V = 29.09 Å³ per atom
! N(E_F) = 4.88 states/eV/cell
! crystal system = tetragonal
! total moment = 0.0 μB/cell
! space group = P4/mmm, No. 123

---

! LaCo2 (SCAN, single point on PBEsol structure); values from VASP
&SYSTEM
  ibrav = 0, nat = 6, ntyp = 2
/
ATOMIC_SPECIES
Co 58.93 Co.upf
La 138.91 La.upf
ATOMIC_POSITIONS crystal
Co 0.666 0.166 0.331
Co 0.834 0.334 0.669
Co 0.416 0.416 0.831
Co 0.584 0.584 0.169
La 0.000 0.000 0.000
La 0.250 0.750 0.500
CELL_PARAMETERS angstrom
4.031 0.000 0.000
0.000 4.031 0.000
-2.015 -2.015 6.667
! calculated formation energy = 0.0624 eV per atom
! V = 18.05 Å³ per atom
! N(E_F) = 4.53 states/eV/cell
! crystal system = tetragonal
! total moment = 4.4 μB/cell
! space group = I4_1/amd, No. 141

---

! ZrAlAs2 (SCAN, single point on PBEsol structure); values from VASP
&SYSTEM
  ibrav = 0, nat = 4, ntyp = 3
/
ATOMIC_SPECIES
As 74.92 As.upf
Al 26.98 Al.upf
Zr 91.22 Zr.upf
ATOMIC_POSITIONS crystal
As 0.000 0.000 0.254
As 0.000 0.000 0.746
Al 0.500 0.500 0.000
Zr 0.500 0.500 0.500
CELL_PARAMETERS angstrom
-0.365 0.184 -3.109
-0.352 -3.025 0.750
-7.705 1.137 0.973
! calculated formation energy = -0.3243 eV per atom
! V = 18.53 Å³ per atom
! N(E_F) = 1.28 states/eV/cell
! crystal system = orthorhombic
! total moment = 0.0 μB/cell
! space group = Cmmm, No. 65

---

! KRbRh2Br (SCAN, single point on PBEsol structure); values from VASP
&SYSTEM
  ibrav = 0, nat = 5, ntyp = 4
/
ATOMIC_SPECIES
K 39.10 K.upf
Rh 102.91 Rh.upf
Br 79.90 Br.upf
Rb 85.47 Rb.upf
ATOMIC_POSITIONS crystal
K 0.000 0.000 0.500
Rh 0.000 0.500 0.000
Rh 0.500 0.000 0.000
Br 0.500 0.500 0.500
Rb 0.000 0.000 0.000
CELL_PARAMETERS angstrom
-3.284 0.629 -3.422
1.071 -4.295 -1.817
-4.909 -2.985 4.164
! raw formation energy = 1.195 eV per atom
! V = 32.48 Å³ per atom
! N(E_F) = 3.24 states/eV/cell
! crystal system = tetragonal
! total moment = 1.5 μB/cell
! space group = P4/mmm, No. 123

---

! AlFe2Co (SCAN, single point on PBEsol structure); values from VASP
&SYSTEM
  ibrav = 0, nat = 4, ntyp = 3
/
ATOMIC_SPECIES
Co 58.93 Co.upf
Fe 55.84 Fe.upf
Al 26.98 Al.upf
ATOMIC_POSITIONS crystal
Co 0.000 0.500 0.500
Fe 0.000 0.000 0.000
Fe 0.500 0.500 0.000
Al 0.500 0.000 0.500
CELL_PARAMETERS angstrom
2.816 0.000 0.000
0.000 3.926 0.000
0.000 0.000 3.995
! calculated formation energy = -0.2651 eV per atom
! V = 11.04 Å³ per atom
! N(E_F) = 3.12 states/eV/cell
! crystal system = orthorhombic
! total moment = 5.5 μB/cell
! space group = Pmmm, No. 47

---

! KZnAg2 (SCAN, single point on PBEsol structure); values from VASP
&SYSTEM
  ibrav = 0, nat = 4, ntyp = 3
/
ATOMIC_SPECIES
Zn 65.41 Zn.upf
K 39.10 K.upf
Ag 107.87 Ag.upf
ATOMIC_POSITIONS crystal
Zn 0.681 0.361 0.042
K 0.498 0.997 0.495
Ag 0.007 0.014 0.021
Ag 0.314 0.628 0.942
CELL_PARAMETERS angstrom
-4.547 -0.545 0.321
2.769 -1.983 3.026
-0.668 6.312 1.252
! calculated formation energy = 0.0107 eV per atom
! V = 26.58 Å³ per atom
! N(E_F) = 1.26 states/eV/cell
! crystal system = monoclinic
! total moment = 0.0 μB/cell
! space group = Cm, No. 8

---

Question: What is the total moment in the fourth record?
Answer: 1.5 μB/cell

---

Question: What is the N(E_F) in the first record?
Answer: 4.88 states/eV/cell

---

Question: Which of these has the highest N(E_F)?
Answer: BaNaZr2Al